VASP calculation (PBE-GGA) on a geometry-optimized CaSbW2 structure.

```
CaSbW2
1.0
2.878 0.000 0.000
0.000 4.984 0.000
0.000 0.000 5.679
Sb Ca W
1 1 2
Cartesian
1.439 2.492 4.259
1.439 2.492 1.420
0.000 0.000 0.076
0.000 0.000 2.763
```

- Volume: 81.5 Å³ per cell
- N(E_F): 2.6 states/eV/f.u.
- E_form (uncorrected): 90.6 kJ per mole of atoms
- ρ: 10.8 g cm⁻³
- Crystal system: orthorhombic
- Magnetic moment: 0.00 μB/cell